# 1
ScCrCl: single point on PBEsol structure, SCAN.

Lattice parameters (Å, degrees): 3.2256 3.2256 6.2171 90.00 90.00 120.00
With the nearest neighbours (Å) after each atom.
Element x y z (fractional)
Cl: 0.0000 0.0000 0.0295  3 Sc 2.60
Cr: 0.6667 0.3333 0.6489  3 Sc 2.76, 3 Cl 3.01
Sc: 0.3333 0.6667 0.3216  3 Cl 2.60, 3 Cr 2.76

- Relative energy among the computed polymorphs: 0.0 kJ per mole of atoms
- ΔE_f (raw): -0.6202 eV per atom
- M_tot: 3.44 Bohr magnetons per cell

# 2
Ca3InAu3: single point on PBEsol structure, SCAN.

Lattice parameters (Å, degrees): 4.5431 8.8132 16.4978 90.00 90.00 90.00
With the nearest neighbours (Å) after each atom.
Element x y z (fractional)
Ca: 0.2500 0.9736 0.8448  6 Au 3.12-3.20, 2 In 3.35
Au: 0.7500 0.5858 0.4708  2 Au 2.89, 7 Ca 2.99-3.20
Ca: 0.7500 0.2506 0.4434  7 Au 2.97-3.07
Au: 0.2500 0.4142 0.5292  2 Au 2.89, 7 Ca 2.99-3.20
Ca: 0.7500 0.6296 0.8664  6 Au 3.04-3.12, 1 In 3.34
Au: 0.2500 0.0334 0.4526  1 In 2.79, 2 Au 2.82, 6 Ca 2.97-3.10
In: 0.7500 0.8637 0.7075  4 Au 2.79-2.87
Au: 0.7500 0.5334 0.0474  1 In 2.79, 2 Au 2.82, 6 Ca 2.97-3.10
Au: 0.2500 0.0858 0.0292  2 Au 2.89, 7 Ca 2.99-3.20
Au: 0.7500 0.1731 0.7616  3 In 2.87, 6 Ca 3.07-3.18
Au: 0.2500 0.6731 0.7384  3 In 2.87, 6 Ca 3.07-3.18
In: 0.2500 0.1363 0.2925  4 Au 2.79-2.87
Ca: 0.2500 0.7506 0.0566  7 Au 2.97-3.07
Au: 0.2500 0.8269 0.2384  3 In 2.87, 6 Ca 3.07-3.18
Au: 0.7500 0.3269 0.2616  3 In 2.87, 6 Ca 3.07-3.18
In: 0.7500 0.6363 0.2075  4 Au 2.79-2.87
Ca: 0.2500 0.1296 0.6336  6 Au 3.04-3.12, 1 In 3.34
Ca: 0.7500 0.8704 0.3664  6 Au 3.04-3.12, 1 In 3.34
Au: 0.2500 0.4666 0.9526  1 In 2.79, 2 Au 2.82, 6 Ca 2.97-3.10
Ca: 0.7500 0.4736 0.6552  6 Au 3.12-3.20, 2 In 3.35
Ca: 0.2500 0.5264 0.3448  6 Au 3.12-3.20, 2 In 3.35
Ca: 0.7500 0.2494 0.9434  7 Au 2.97-3.07
Ca: 0.2500 0.7494 0.5566  7 Au 2.97-3.07
Au: 0.7500 0.9666 0.5474  1 In 2.79, 2 Au 2.82, 6 Ca 2.97-3.10
Ca: 0.7500 0.0264 0.1552  6 Au 3.12-3.20, 2 In 3.35
Ca: 0.2500 0.3704 0.1336  6 Au 3.04-3.12, 1 In 3.34
In: 0.2500 0.3637 0.7925  4 Au 2.79-2.87
Au: 0.7500 0.9142 0.9708  2 Au 2.89, 7 Ca 2.99-3.20

- ΔH_f (0 K): -0.935 eV per atom
- M_tot: 0.00 Bohr magnetons per cell

# 3
Rb2LaNb5O15: single point on PBEsol structure, SCAN.

Lattice parameters (Å, degrees): 3.9468 12.7377 12.7377 90.00 90.00 90.00
With the nearest neighbours (Å) after each atom.
Element x y z (fractional)
O: 0.5000 0.0000 0.5000  2 Nb 1.97
O: 0.5000 0.5000 0.0000  2 Nb 1.97
O: 0.0000 0.6569 0.0004  2 Nb 1.91-2.00
O: 0.0000 0.4393 0.6329  2 Nb 2.02-2.08
O: 0.5000 0.5780 0.6904  2 Nb 2.00
O: 0.0000 0.2868 0.2132  2 Nb 1.99
Nb: 0.0000 0.2136 0.0755  6 O 1.91-2.08
La: 0.5000 0.5000 0.5000  12 O 2.62-2.71
Rb: 0.5000 0.3283 0.8283  9 O 2.86-3.20
O: 0.0000 0.5004 0.1569  2 Nb 1.91-2.00
O: 0.0000 0.7868 0.2868  2 Nb 1.99
Nb: 0.0000 0.4245 0.2864  6 O 1.91-2.08
O: 0.0000 0.4996 0.8431  2 Nb 1.91-2.00
O: 0.0000 0.3431 0.9996  2 Nb 1.91-2.00
O: 0.5000 0.3096 0.5780  2 Nb 2.00
O: 0.5000 0.0780 0.8096  2 Nb 2.00
O: 0.0000 0.6329 0.5607  2 Nb 2.02-2.08
Nb: 0.0000 0.5000 0.0000  6 O 1.97-2.00
Nb: 0.0000 0.7136 0.4245  6 O 1.91-2.08
O: 0.0000 0.3671 0.4393  2 Nb 2.02-2.08
Nb: 0.0000 0.0755 0.7864  6 O 1.91-2.08
Nb: 0.0000 0.2864 0.5755  6 O 1.91-2.08
Nb: 0.0000 0.5755 0.7136  6 O 1.91-2.08
O: 0.0000 0.1329 0.9393  2 Nb 2.02-2.08
O: 0.5000 0.8096 0.9220  2 Nb 2.00
O: 0.0000 0.5607 0.3671  2 Nb 2.02-2.08
Rb: 0.5000 0.1717 0.3283  9 O 2.86-3.20
Nb: 0.0000 0.7864 0.9245  6 O 1.91-2.08
O: 0.0000 0.0004 0.3431  2 Nb 1.91-2.00
O: 0.0000 0.8671 0.0607  2 Nb 2.02-2.08
Nb: 0.0000 0.9245 0.2136  6 O 1.91-2.08
O: 0.5000 0.9220 0.1904  2 Nb 2.00
O: 0.5000 0.1904 0.0780  2 Nb 2.00
O: 0.0000 0.9996 0.6569  2 Nb 1.91-2.00
O: 0.0000 0.7132 0.7868  2 Nb 1.99
Rb: 0.5000 0.6717 0.1717  9 O 2.86-3.20
O: 0.0000 0.9393 0.8671  2 Nb 2.02-2.08
Nb: 0.0000 0.0000 0.5000  6 O 1.97-2.00
O: 0.0000 0.1569 0.4996  2 Nb 1.91-2.00
Rb: 0.5000 0.8283 0.6717  9 O 2.86-3.20
La: 0.5000 0.0000 0.0000  12 O 2.62-2.71
O: 0.0000 0.8431 0.5004  2 Nb 1.91-2.00
O: 0.0000 0.0607 0.1329  2 Nb 2.02-2.08
O: 0.5000 0.6904 0.4220  2 Nb 2.00
O: 0.0000 0.2132 0.7132  2 Nb 1.99
O: 0.5000 0.4220 0.3096  2 Nb 2.00

- ΔE_f (raw): -2.8794 eV per atom
- M_tot: 0.00 Bohr magnetons per cell

# 4
Ta3CoSn: single point on PBEsol structure, SCAN.

Lattice parameters (Å, degrees): 4.9161 4.9161 4.9161 90.00 90.00 90.00
With the nearest neighbours (Å) after each atom.
Element x y z (fractional)
Co: 0.5000 0.5000 0.5000  12 Ta 3.48
Sn: 0.0000 0.0000 0.0000  6 Ta 2.46
Ta: 0.0000 0.5000 0.0000  2 Sn 2.46
Ta: 0.5000 0.0000 0.0000  2 Sn 2.46
Ta: 0.0000 0.0000 0.5000  2 Sn 2.46

- ΔH_f (0 K): 2.314 eV per atom
- M_tot: 1.98 Bohr magnetons per cell